<one>
{"formula": "Ba3SrSb2O9", "functional": "PBE-GGA", "state": "relaxed", "sg": "No. 164", "lattice": [[6.0391, 0.0000, 0.0000], [-3.0195, 5.2300, 0.0000], [0.0000, 0.0000, 7.5617]], "species": ["O", "Ba", "O", "O", "O", "O", "Ba", "Sb", "O", "Sr", "Ba", "O", "Sb", "O", "O"], "frac_coords": [[0.6460, 0.8230, 0.3035], [0.0000, 0.0000, 0.0000], [0.1770, 0.3540, 0.3035], [0.8230, 0.1770, 0.6965], [0.0000, 0.5000, 0.0000], [0.5000, 0.0000, 0.0000], [0.6667, 0.3333, 0.3265], [0.6667, 0.3333, 0.8376], [0.1770, 0.8230, 0.3035], [0.0000, 0.0000, 0.5000], [0.3333, 0.6667, 0.6735], [0.5000, 0.5000, 0.0000], [0.3333, 0.6667, 0.1624], [0.8230, 0.6460, 0.6965], [0.3540, 0.1770, 0.6965]]}

<two>
{"formula": "Ba3SrSb2O9", "functional": "PBE-GGA", "state": "relaxed", "dos_ef_per_ev_atom": 0.00, "sg": "No. 2", "lattice": [[6.1697, -0.0135, -0.0125], [-3.0460, 5.3948, 0.0232], [-0.5362, -0.5881, 15.3453]], "species": ["O", "O", "Sr", "Ba", "Ba", "Ba", "Sb", "O", "O", "O", "O", "Ba", "Sb", "O", "O", "O", "O", "O", "Sr", "Sb", "O", "O", "O", "Ba", "O", "Ba", "O", "Sb", "O", "O"], "frac_coords": [[0.5696, 0.7464, 0.9343], [0.5014, 0.0551, 0.2340], [0.0000, 0.0000, 0.5000], [0.3476, 0.6688, 0.0983], [0.6524, 0.3312, 0.9017], [0.6904, 0.3572, 0.5919], [0.3618, 0.6915, 0.6566], [0.1966, 0.4110, 0.5716], [0.9154, 0.6880, 0.1100], [0.0846, 0.3120, 0.8900], [0.8752, 0.2025, 0.1038], [0.3096, 0.6428, 0.4081], [0.3008, 0.6418, 0.8442], [0.0509, 0.5497, 0.7304], [0.7260, 0.0872, 0.4067], [0.4489, 0.4950, 0.7546], [0.4304, 0.2536, 0.0657], [0.8034, 0.5890, 0.4284], [0.0000, 0.0000, 0.0000], [0.6992, 0.3582, 0.1558], [0.4986, 0.9449, 0.7660], [0.2740, 0.9128, 0.5933], [0.1248, 0.7975, 0.8962], [0.9801, 0.9972, 0.2506], [0.6950, 0.8193, 0.6117], [0.0199, 0.0028, 0.7494], [0.3050, 0.1807, 0.3883], [0.6382, 0.3085, 0.3434], [0.5511, 0.5050, 0.2454], [0.9491, 0.4503, 0.2696]]}

Which is most stable, and by how much? <two>, by 4.1 kJ/mol of atoms.

<one>
{"formula": "BaSbTe2O", "functional": "PBE-GGA", "state": "relaxed", "dos_ef_per_ev_atom": 4.79, "sg": "No. 123", "lattice": [[6.4476, 0.0000, 0.0000], [0.0000, 6.4476, 0.0000], [0.0000, 0.0000, 6.6381]], "species": ["Te", "Te", "Ba", "O", "Sb"], "frac_coords": [[0.0000, 0.5000, 0.0000], [0.5000, 0.0000, 0.0000], [0.0000, 0.0000, 0.0000], [0.5000, 0.5000, 0.5000], [0.0000, 0.0000, 0.5000]]}

<two>
{"formula": "BaSbTe2O", "functional": "PBE-GGA", "state": "relaxed", "dos_ef_per_ev_atom": 0.79, "sg": "No. 123", "lattice": [[-3.9805, -2.1030, 2.8099], [3.3071, -0.8248, 4.0675], [-1.0476, 4.2807, 1.7198]], "species": ["Te", "Sb", "Ba", "O", "Te"], "frac_coords": [[0.0000, 0.5000, 0.0000], [0.0000, 0.0000, 0.5000], [0.5000, 0.5000, 0.5000], [0.0000, 0.0000, 0.0000], [0.5000, 0.0000, 0.0000]]}

Which is most stable, and by how much? <two>, by 172.0 kJ/mol of atoms.